Record 1
Li4PdRh | Alexandria via LeMat-Bulk | PBE | optimized geometry; E_form = -0.236 eV per atom; V = 13.72 Å³/atom; D(E_F) = 0.43 states/eV per atom; M_tot = 0.0 μB per formula unit
1.0
4.224 -0.537 0.205
0.544 4.930 1.703
-0.364 0.124 7.807
Rh Li Pd
2 8 2
Direct
0.750 0.875 0.251
0.250 0.125 0.749
0.750 0.456 0.583
0.750 0.961 0.583
0.250 0.544 0.417
0.250 0.039 0.417
0.750 0.286 0.917
0.250 0.203 0.083
0.750 0.797 0.917
0.250 0.714 0.083
0.250 0.624 0.751
0.750 0.376 0.249

---

Record 2
CuIrF2 | Alexandria via LeMat-Bulk | PBE | optimized geometry; energy relative to the elements, uncorrected = 169.9 meV per atom; V = 12.26 Å³/atom; D(E_F) = 0.80 states/eV per atom; M_tot = 2.4 μB per formula unit
1.0
0.000 2.905 2.905
2.905 0.000 2.905
2.905 2.905 0.000
Ir F Cu
1 2 1
Direct
0.500 0.500 0.500
0.750 0.750 0.750
0.250 0.250 0.250
0.000 0.000 0.000

---

Record 3
ZnAg2Te | Alexandria via LeMat-Bulk | PBE | optimized geometry; energy relative to the elements, uncorrected = 100.4 meV per atom; V = 21.84 Å³/atom; D(E_F) = 0.40 states/eV per atom; M_tot = 0.0 μB per formula unit
1.0
4.300 0.000 0.000
0.000 4.300 0.000
2.150 2.150 9.448
Ag Te Zn
4 2 2
Direct
0.155 0.625 0.250
0.595 0.125 0.250
0.875 0.845 0.750
0.375 0.405 0.750
0.000 0.000 0.000
0.750 0.250 0.500
0.250 0.750 0.500
0.500 0.500 0.000

---

Record 4
SrMgRh2 | Alexandria via LeMat-Bulk | PBE | optimized geometry; E_form = -0.095 eV per atom; V = 19.20 Å³/atom; D(E_F) = 0.72 states/eV per atom; M_tot = 0.0 μB per formula unit
1.0
-1.659 -0.143 3.023
-0.154 -4.705 -0.306
4.134 -0.282 2.255
Sr Mg Rh
1 1 2
Direct
0.500 0.500 0.000
0.500 0.000 0.500
0.000 0.000 0.000
0.000 0.500 0.500